{
  "formula": "K7Na2Au2",
  "functional": "PBE",
  "state": "relaxed",
  "dos_ef_per_ev_cell": 5.9,
  "final_energy_ev_per_atom": -1.62,
  "space_group": "Imm2 (44)",
  "cell": [[-4.1825, 1.7043, -0.6982], [-4.0652, -7.3373, -8.5145], [-6.7956, -9.4779, 2.6165]],
  "species": ["K", "K", "K", "K", "K", "K", "K", "Na", "Na", "Au", "Au"],
  "fractional_positions": [[0.8395, 0.0382, 0.2829], [0.8816, 0.4062, 0.8307], [0.5000, 0.0148, 0.9852], [0.5881, 0.5127, 0.3111], [0.4119, 0.6889, 0.4873], [0.1605, 0.7171, 0.9618], [0.1184, 0.1693, 0.5938], [0.7457, 0.8484, 0.6601], [0.2543, 0.3399, 0.1516], [0.0000, 0.7759, 0.2241], [0.5000, 0.3425, 0.6575]]
}